CoAsIrN2 | PBE | optimized geometry

Results
Formation energy without anion corrections   1.807 eV per atom
Space group   P4/mmm (123)
DOS(E_F)   5.4 states/eV/f.u.
E_tot   -5.65 eV per atom

Unit cell a=3.677 b=5.018 c=3.677 alpha=90.00 beta=90.00 gamma=90.00
Last column: magnetic moment on the atom in μB.
Sites, in units of the cell vectors:
As  0.000  0.000  0.000  0.01
N  0.000  0.000  0.500  -0.18
N  0.500  0.000  0.000  -0.19
Ir  0.000  0.500  0.000  0.45
Co  0.500  0.500  0.500  2.10